Computed, not measured: an optimized crystal structure of K4Pu3UO12 at the PBE level of DFT.

a b c (Å): 8.5991 8.5991 8.5991
angles (deg): 90.00 90.00 90.00
Space group Im-3m (No. 229)
Asymmetric unit:
K (0.2500, 0.2500, 0.2500)
Pu (0.0000, 0.0000, 0.5000)
U (0.0000, 0.0000, 0.0000)
O (0.0000, 0.0000, 0.2435)
O (0.0000, 0.2500, 0.5000)

Volume   635.9 Å³ per cell
Uncorrected energy   -8.59 eV per atom
D(E_F)   31.0 states/eV per cell
Formation energy from raw total energies   -2.6848 eV/atom

Computed, not measured: an optimized crystal structure of LiAg2PtBr at the PBE level of DFT.

a b c (Å): 5.2075 5.2075 5.1101
angles (deg): 90.00 90.00 90.00
Space group P4/mmm (No. 123)
Asymmetric unit:
Li (0.0000, 0.0000, 0.0000)
Ag (0.0000, 0.5000, 0.5000)
Pt (0.5000, 0.5000, 0.5000)
Br (0.5000, 0.5000, 0.0000)

Volume   138.6 Å³ per cell
Uncorrected energy   -2.82 eV per atom
D(E_F)   1.8 states/eV per cell
Formation energy from raw total energies   0.2474 eV/atom

Computed, not measured: an optimized crystal structure of BeTlCl3 at the PBE level of DFT.

a b c (Å): 5.3978 5.3978 5.3978
angles (deg): 90.00 90.00 90.00
Space group Pm-3m (No. 221)
Asymmetric unit:
Be (0.0000, 0.0000, 0.0000)
Tl (0.5000, 0.5000, 0.5000)
Cl (0.0000, 0.5000, 0.5000)

Volume   157.3 Å³ per cell
Uncorrected energy   -2.18 eV per atom
D(E_F)   2.8 states/eV per cell
Formation energy from raw total energies   0.1509 eV/atom
Distance to the lowest polymorph of the same formula   139.4 kJ/mol of atoms

Computed, not measured: an optimized crystal structure of Ho2Re2N7 at the PBE level of DFT.

a b c (Å): 7.1990 9.6368 5.2095
angles (deg): 90.00 103.03 90.00
Space group C2/m (No. 12)
Asymmetric unit:
Ho (0.0000, 0.1921, 0.0000)
Re (0.2275, 0.5000, 0.3962)
N (0.0000, 0.5000, 0.5000)
N (0.0971, 0.0000, 0.2859)
N (0.2383, 0.3449, 0.2057)

Volume   352.1 Å³ per cell
Uncorrected energy   -8.89 eV per atom
D(E_F)   8.5 states/eV per cell
Formation energy from raw total energies   -0.4979 eV/atom

Computed, not measured: an optimized crystal structure of LaTaAl at the PBE level of DFT.

a b c (Å): 3.0089 3.0089 14.5303
angles (deg): 90.00 90.00 90.00
Space group I4mm (No. 107)
Asymmetric unit:
La (0.0000, 0.0000, 0.0000)
Ta (0.0000, 0.0000, 0.3077)
Al (0.0000, 0.0000, 0.6770)

ΔH_f (0 K)   0.1112 eV per atom
Volume   131.6 Å³ per cell
Uncorrected energy   -6.73 eV per atom
D(E_F)   6.8 states/eV per cell
Distance to the lowest polymorph of the same formula   20.1 kJ/mol of atoms

Computed, not measured: an optimized crystal structure of CsTc2AsS at the PBE level of DFT.

a b c (Å): 7.7921 3.9943 8.2621
angles (deg): 90.00 103.68 90.00
Space group P2_1/m (No. 11)
Asymmetric unit:
Cs (0.2438, 0.2500, 0.0502)
Tc (0.1233, 0.2500, 0.4976)
Tc (0.3761, 0.7500, 0.5027)
As (0.4228, 0.2500, 0.6950)
S (0.0871, 0.7500, 0.3372)

Volume   249.9 Å³ per cell
Uncorrected energy   -6.44 eV per atom
D(E_F)   6.3 states/eV per cell
Formation energy from raw total energies   -0.3703 eV/atom

Computed, not measured: an optimized crystal structure of Pm2Pr4Tm3 at the PBE level of DFT.

a b c (Å): 16.3957 11.8730 6.2562
angles (deg): 90.00 96.35 90.00
Space group C2/c (No. 15)
Asymmetric unit:
Pm (0.1171, 0.1389, 0.3196)
Pr (0.0489, 0.3593, 0.0139)
Pr (0.2150, 0.1408, 0.8474)
Tm (0.0000, 0.1015, 0.7500)
Tm (0.1673, 0.3975, 0.5810)

ΔH_f (0 K)   0.0820 eV per atom
Volume   1210.4 Å³ per cell
Uncorrected energy   -4.59 eV per atom
D(E_F)   46.7 states/eV per cell
Distance to the lowest polymorph of the same formula   3.0 kJ/mol of atoms

Computed, not measured: an optimized crystal structure of MgSbSe at the PBE level of DFT.

a b c (Å): 3.8597 3.8597 5.8063
angles (deg): 90.00 90.00 120.00
Space group P3m1 (No. 156)
Asymmetric unit:
Mg (0.0000, 0.0000, 0.0000)
Sb (0.6667, 0.3333, 0.3801)
Se (0.3333, 0.6667, 0.7595)

Volume   74.9 Å³ per cell
Uncorrected energy   -3.34 eV per atom
D(E_F)   2.3 states/eV per cell
Formation energy from raw total energies   -0.2695 eV/atom